This record from Alexandria describes a geometry-optimized Tm4GaPd2 structure. The functional is PBE-GGA.

```
Tm4GaPd2
1.0
4.665 0.000 1.457
2.105 4.163 1.457
-0.085 -0.052 8.465
Tm Pd Ga
4 2 1
Direct
0.873 0.873 0.381 Tm
0.127 0.127 0.619 Tm
0.621 0.621 0.136 Tm
0.379 0.379 0.864 Tm
0.750 0.750 0.749 Pd
0.250 0.250 0.251 Pd
0.000 0.000 0.000 Ga
```

Computed properties:
energy above the lowest structure with this stoichiometry = 0.0 meV/atom
D(E_F) = 0.60 states/eV per atom
electronic total energy = -5.1330 eV/atom
formation energy = -0.66 eV per atom
total moment = 0.00 μB/f.u.
crystal system = trigonal
density = 9.6 g/cm³

This record from Alexandria describes a geometry-optimized CaMg2 structure. The functional is PBE-GGA.

```
CaMg2
1.0
1.769 -3.064 0.000
1.769 3.064 0.000
0.000 0.000 16.296
Ca Mg
2 4
Direct
0.000 0.000 0.324 Ca
0.000 0.000 0.676 Ca
0.000 0.000 0.000 Mg
0.667 0.333 0.151 Mg
0.667 0.333 0.500 Mg
0.667 0.333 0.849 Mg
```

Computed properties:
D(E_F) = 0.89 states/eV per atom
electronic total energy = -1.6519 eV/atom
formation energy = 0.08 eV per atom
total moment = 0.00 μB/f.u.
crystal system = hexagonal
density = 1.7 g/cm³

This record from Alexandria describes a geometry-optimized Sc2Zn2Ag structure. The functional is PBE-GGA.

```
Sc2Zn2Ag
1.0
-6.880 -1.661 -0.009
0.937 -3.913 5.822
-0.732 3.019 2.147
Sc Zn Ag
4 4 2
Direct
0.168 0.668 0.500 Sc
0.668 0.832 0.500 Sc
0.832 0.332 0.500 Sc
0.332 0.168 0.500 Sc
0.370 0.870 0.000 Zn
0.870 0.630 0.000 Zn
0.630 0.130 0.000 Zn
0.130 0.370 0.000 Zn
0.000 0.000 0.000 Ag
0.500 0.500 0.000 Ag
```

Computed properties:
energy above the lowest structure with this stoichiometry = 0.0 meV/atom
D(E_F) = 1.23 states/eV per atom
electronic total energy = -3.8952 eV/atom
formation energy = -0.28 eV per atom
total moment = 0.00 μB/f.u.
crystal system = tetragonal
density = 5.8 g/cm³

This record from Alexandria describes a geometry-optimized SrCdI2N structure. The functional is PBE-GGA.

```
SrCdI2N
1.0
6.192 0.000 0.000
0.000 6.192 0.000
0.000 0.000 4.201
I Sr N Cd
2 1 1 1
Direct
0.000 0.500 0.000 I
0.500 0.000 0.000 I
0.500 0.500 0.500 Sr
0.000 0.000 0.500 N
0.000 0.000 0.000 Cd
```

Computed properties:
energy above the lowest structure with this stoichiometry = 0.0 meV/atom
D(E_F) = 0.65 states/eV per atom
electronic total energy = -2.8658 eV/atom
total moment = 1.20 μB/f.u.
crystal system = tetragonal
density = 4.8 g/cm³

This record from Alexandria describes a geometry-optimized Cd2TcMo structure. The functional is PBE-GGA.

```
Cd2TcMo
1.0
-3.155 -4.466 0.619
5.232 -0.069 1.706
-0.510 0.310 2.683
Cd Mo Tc
2 1 1
Direct
0.000 0.000 0.000 Cd
0.500 0.500 0.000 Cd
0.500 0.000 0.500 Mo
0.000 0.500 0.500 Tc
```

Computed properties:
energy above the lowest structure with this stoichiometry = 313.6 meV/atom
D(E_F) = 0.66 states/eV per atom
electronic total energy = -5.2575 eV/atom
formation energy = 0.50 eV per atom
total moment = 0.00 μB/f.u.
crystal system = monoclinic
density = 10.0 g/cm³

This record from Alexandria describes a geometry-optimized Sm3HfSb5 structure. The functional is PBE-GGA.

```
Sm3HfSb5
1.0
9.492 0.000 0.000
-4.746 8.220 0.000
0.000 0.000 6.225
Sm Hf Sb
6 2 10
Direct
0.619 0.000 0.250 Sm
0.381 0.000 0.750 Sm
0.000 0.619 0.250 Sm
0.000 0.381 0.750 Sm
0.381 0.381 0.250 Sm
0.619 0.619 0.750 Sm
0.000 0.000 0.000 Hf
0.000 0.000 0.500 Hf
0.265 0.000 0.250 Sb
0.735 0.000 0.750 Sb
0.000 0.265 0.250 Sb
0.000 0.735 0.750 Sb
0.735 0.735 0.250 Sb
0.265 0.265 0.750 Sb
0.333 0.667 0.000 Sb
0.667 0.333 0.000 Sb
0.667 0.333 0.500 Sb
0.333 0.667 0.500 Sb
```

Computed properties:
D(E_F) = 0.28 states/eV per atom
electronic total energy = -5.8752 eV/atom
total moment = 0.00 μB/f.u.
crystal system = hexagonal
density = 8.5 g/cm³

Which of these has the lowest electronic total energy? Sm3HfSb5

Look up the total moment of the second one. 0.00 μB/f.u.

Copy entry 2 word for word.
This record from Alexandria describes a geometry-optimized CaMg2 structure. The functional is PBE-GGA.

```
CaMg2
1.0
1.769 -3.064 0.000
1.769 3.064 0.000
0.000 0.000 16.296
Ca Mg
2 4
Direct
0.000 0.000 0.324 Ca
0.000 0.000 0.676 Ca
0.000 0.000 0.000 Mg
0.667 0.333 0.151 Mg
0.667 0.333 0.500 Mg
0.667 0.333 0.849 Mg
```

Computed properties:
D(E_F) = 0.89 states/eV per atom
electronic total energy = -1.6519 eV/atom
formation energy = 0.08 eV per atom
total moment = 0.00 μB/f.u.
crystal system = hexagonal
density = 1.7 g/cm³